## Sc5Co2Pd (GGA-PBE)

Data for Sc5Co2Pd after structural relaxation.

Calculated values
For the volume, the calculation gives 18.72 Å³ per atom. The space group is I4/mcm, No. 140. The energy of formation comes out at -0.443 eV per atom. The value obtained for the density of states at the Fermi level is 15.438 states/eV/cell. As for the total energy: -109.22 eV per cell.

Unit cell a=8.053 b=8.053 c=8.053 alpha=129.94 beta=129.94 gamma=73.50
Fractional positions:
Sc (0.000, 0.000, 0.000)
Sc (0.031, 0.531, 0.840)
Sc (0.192, 0.031, 0.500)
Sc (0.308, 0.808, 0.840)
Sc (0.469, 0.308, 0.500)
Sc (0.500, 0.500, 0.000)
Sc (0.531, 0.692, 0.500)
Sc (0.692, 0.192, 0.160)
Sc (0.808, 0.969, 0.500)
Sc (0.969, 0.469, 0.160)
Co (0.127, 0.373, 0.500)
Co (0.373, 0.873, 0.247)
Co (0.627, 0.127, 0.753)
Co (0.873, 0.627, 0.500)
Pd (0.250, 0.250, 0.000)
Pd (0.750, 0.750, 0.000)

---

## HoTmPd (GGA-PBE)

Data for HoTmPd after structural relaxation.

Calculated values
For the volume, the calculation gives 26.92 Å³ per atom. The space group is R3m, No. 160. The energy of formation comes out at -0.449 eV per atom. The value obtained for the density of states at the Fermi level is 3.451 states/eV/cell. The relative energy among the computed polymorphs comes out at 0.138 eV per atom. As for the total energy: -15.59 eV per cell.

Unit cell a=7.061 b=7.061 c=7.061 alpha=30.57 beta=30.57 gamma=30.57
Fractional positions:
Ho (0.000, 0.000, 0.000)
Tm (0.816, 0.816, 0.816)
Pd (0.574, 0.574, 0.574)

---

## BaGaSnHg2 (GGA-PBE)

Data for BaGaSnHg2 after structural relaxation.

Calculated values
For the volume, the calculation gives 31.91 Å³ per atom. The space group is P4/mmm, No. 123. The energy of formation comes out at -0.209 eV per atom. The value obtained for the density of states at the Fermi level is 2.213 states/eV/cell. The relative energy among the computed polymorphs comes out at 0.178 eV per atom. As for the total energy: -10.60 eV per cell.

Unit cell a=5.362 b=5.362 c=5.549 alpha=90.00 beta=90.00 gamma=90.00
Fractional positions:
Ba (0.000, 0.000, 0.000)
Ga (0.500, 0.500, 0.500)
Sn (0.500, 0.500, 0.000)
Hg (0.000, 0.500, 0.500)
Hg (0.500, 0.000, 0.500)

---

## HgH2O (GGA-PBE)

Data for HgH2O after structural relaxation.

Calculated values
For the volume, the calculation gives 9.11 Å³ per atom. The space group is Fm-3m, No. 225. The value obtained for the density of states at the Fermi level is 1.092 states/eV/cell. The relative energy among the computed polymorphs comes out at 1.099 eV per atom. As for the total energy: -7.88 eV per cell.

Unit cell a=3.722 b=3.722 c=3.722 alpha=60.00 beta=60.00 gamma=60.00
Fractional positions:
Hg (0.000, 0.000, 0.000)
H (0.250, 0.250, 0.250)
H (0.750, 0.750, 0.750)
O (0.500, 0.500, 0.500)

---

## LiNb6Cl19 (GGA-PBE)

Data for LiNb6Cl19 after structural relaxation.

Calculated values
For the volume, the calculation gives 27.15 Å³ per atom. The space group is Pmma, No. 51. The formation energy without anion corrections is -1.34 eV/atom. As for the total energy: -264.71 eV per cell.

Unit cell a=28.686 b=6.880 c=7.154 alpha=90.00 beta=90.00 gamma=90.00
Fractional positions:
Li (0.000, 0.000, 0.000)
Li (0.500, 0.000, 0.000)
Nb (0.107, 0.288, 0.149)
Nb (0.107, 0.712, 0.149)
Nb (0.190, 0.500, 0.263)
Nb (0.310, 0.500, 0.263)
Nb (0.393, 0.288, 0.149)
Nb (0.393, 0.712, 0.149)
Nb (0.607, 0.288, 0.851)
Nb (0.607, 0.712, 0.851)
Nb (0.690, 0.500, 0.737)
Nb (0.810, 0.500, 0.737)
Nb (0.893, 0.288, 0.851)
Nb (0.893, 0.712, 0.851)
Cl (0.053, 0.500, 0.313)
Cl (0.057, 0.254, 0.881)
Cl (0.057, 0.746, 0.881)
Cl (0.058, 0.000, 0.286)
Cl (0.151, 0.250, 0.442)
Cl (0.151, 0.750, 0.442)
Cl (0.154, 0.000, 0.022)
Cl (0.155, 0.500, 0.948)
Cl (0.250, 0.265, 0.130)
Cl (0.250, 0.500, 0.530)
Cl (0.250, 0.735, 0.130)
Cl (0.345, 0.500, 0.948)
Cl (0.346, 0.000, 0.022)
Cl (0.349, 0.250, 0.442)
Cl (0.349, 0.750, 0.442)
Cl (0.442, 0.000, 0.286)
Cl (0.443, 0.254, 0.881)
Cl (0.443, 0.746, 0.881)
Cl (0.447, 0.500, 0.313)
Cl (0.553, 0.500, 0.687)
Cl (0.557, 0.254, 0.119)
Cl (0.557, 0.746, 0.119)
Cl (0.558, 0.000, 0.714)
Cl (0.651, 0.250, 0.558)
Cl (0.651, 0.750, 0.558)
Cl (0.654, 0.000, 0.978)
Cl (0.655, 0.500, 0.052)
Cl (0.750, 0.265, 0.870)
Cl (0.750, 0.500, 0.470)
Cl (0.750, 0.735, 0.870)
Cl (0.845, 0.500, 0.052)
Cl (0.846, 0.000, 0.978)
Cl (0.849, 0.250, 0.558)
Cl (0.849, 0.750, 0.558)
Cl (0.942, 0.000, 0.714)
Cl (0.943, 0.254, 0.119)
Cl (0.943, 0.746, 0.119)
Cl (0.947, 0.500, 0.687)

---

## Sc2SiS (GGA-PBE)

Data for Sc2SiS after structural relaxation.

Calculated values
For the volume, the calculation gives 27.36 Å³ per atom. The space group is R-3m, No. 166. The value obtained for the density of states at the Fermi level is 0.000 states/eV/cell. The formation energy without anion corrections is -0.72 eV/atom. The relative energy among the computed polymorphs comes out at 0.648 eV per atom. As for the total energy: -25.09 eV per cell.

Unit cell a=7.756 b=7.756 c=7.756 alpha=30.94 beta=30.94 gamma=30.94
Fractional positions:
Sc (0.106, 0.106, 0.106)
Sc (0.894, 0.894, 0.894)
Si (0.500, 0.500, 0.500)
S (0.000, 0.000, 0.000)

---

## InBi3Pd4 (GGA-PBE)

Data for InBi3Pd4 after structural relaxation.

Calculated values
For the volume, the calculation gives 22.22 Å³ per atom. The space group is Imm2, No. 44. The energy of formation comes out at -0.175 eV per atom. The value obtained for the density of states at the Fermi level is 3.703 states/eV/cell. As for the total energy: -36.55 eV per cell.

Unit cell a=6.638 b=6.638 c=6.638 alpha=126.76 beta=77.18 gamma=128.57
Fractional positions:
In (0.000, 0.000, 0.000)
Bi (0.187, 0.687, 0.500)
Bi (0.224, 0.433, 0.791)
Bi (0.642, 0.433, 0.209)
Pd (0.211, 0.947, 0.264)
Pd (0.607, 0.351, 0.744)
Pd (0.607, 0.863, 0.256)
Pd (0.683, 0.947, 0.736)

---

## TbErZr2 (GGA-PBE)

Data for TbErZr2 after structural relaxation.

Calculated values
For the volume, the calculation gives 26.47 Å³ per atom. The space group is P4/mmm, No. 123. The energy of formation comes out at 0.119 eV per atom. The value obtained for the density of states at the Fermi level is 5.145 states/eV/cell. The relative energy among the computed polymorphs comes out at 0.040 eV per atom. As for the total energy: -25.81 eV per cell.

Unit cell a=4.698 b=4.698 c=4.798 alpha=90.00 beta=90.00 gamma=90.00
Fractional positions:
Tb (0.000, 0.000, 0.000)
Er (0.500, 0.500, 0.000)
Zr (0.000, 0.500, 0.500)
Zr (0.500, 0.000, 0.500)

---

## ThCdRuRh (GGA-PBE)

Data for ThCdRuRh after structural relaxation.

Calculated values
For the volume, the calculation gives 19.14 Å³ per atom. The space group is Pmmm, No. 47. The energy of formation comes out at -0.455 eV per atom. The value obtained for the density of states at the Fermi level is 3.332 states/eV/cell. The relative energy among the computed polymorphs comes out at 0.000 eV per atom. As for the total energy: -26.78 eV per cell.

Unit cell a=3.727 b=4.473 c=4.593 alpha=90.00 beta=90.00 gamma=90.00
Fractional positions:
Th (0.000, 0.000, 0.000)
Cd (0.000, 0.500, 0.500)
Ru (0.500, 0.500, 0.000)
Rh (0.500, 0.000, 0.500)

---

## Te2PbAuN (GGA-PBE)

Data for Te2PbAuN after structural relaxation.

Calculated values
For the volume, the calculation gives 29.75 Å³ per atom. The space group is P4/mmm, No. 123. The value obtained for the density of states at the Fermi level is 8.883 states/eV/cell. The formation energy without anion corrections is 1.31 eV/atom. The relative energy among the computed polymorphs comes out at 0.637 eV per atom. As for the total energy: -15.05 eV per cell.

Unit cell a=5.973 b=5.973 c=4.168 alpha=90.00 beta=90.00 gamma=90.00
Fractional positions:
Te (0.000, 0.500, 0.000)
Te (0.500, 0.000, 0.000)
Pb (0.000, 0.000, 0.000)
Au (0.500, 0.500, 0.500)
N (0.000, 0.000, 0.500)

---

## K2VCuBi (GGA-PBE)

Data for K2VCuBi after structural relaxation.

Calculated values
For the volume, the calculation gives 39.05 Å³ per atom. The space group is P4/mmm, No. 123. The energy of formation comes out at 0.933 eV per atom. The value obtained for the density of states at the Fermi level is 3.609 states/eV/cell. As for the total energy: -14.62 eV per cell.

Unit cell a=6.458 b=6.458 c=4.682 alpha=90.00 beta=90.00 gamma=90.00
Fractional positions:
K (0.000, 0.500, 0.000)
K (0.500, 0.000, 0.000)
V (0.000, 0.000, 0.000)
Cu (0.000, 0.000, 0.500)
Bi (0.500, 0.500, 0.500)

---

## Ca2BO (GGA-PBE)

Data for Ca2BO after structural relaxation.

Calculated values
For the volume, the calculation gives 16.31 Å³ per atom. The space group is Fm-3m, No. 225. The value obtained for the density of states at the Fermi level is 0.673 states/eV/cell. The formation energy without anion corrections is -0.33 eV/atom. The relative energy among the computed polymorphs comes out at 0.448 eV per atom. As for the total energy: -16.98 eV per cell.

Unit cell a=4.518 b=4.518 c=4.518 alpha=60.00 beta=60.00 gamma=60.00
Fractional positions:
Ca (0.250, 0.250, 0.250)
Ca (0.750, 0.750, 0.750)
B (0.000, 0.000, 0.000)
O (0.500, 0.500, 0.500)

---

## KTa2Os (GGA-PBE)

Data for KTa2Os after structural relaxation.

Calculated values
For the volume, the calculation gives 22.89 Å³ per atom. The space group is P4mm, No. 99. The energy of formation comes out at 0.610 eV per atom. The value obtained for the density of states at the Fermi level is 4.512 states/eV/cell. The relative energy among the computed polymorphs comes out at 0.031 eV per atom. As for the total energy: -33.59 eV per cell.

Unit cell a=3.130 b=3.130 c=9.346 alpha=90.00 beta=90.00 gamma=90.00
Fractional positions:
K (0.000, 0.000, 0.000)
Ta (0.000, 0.000, 0.440)
Ta (0.500, 0.500, 0.642)
Os (0.500, 0.500, 0.291)

---

## HoSnIrO6 (GGA-PBE)

Data for HoSnIrO6 after structural relaxation.

Calculated values
For the volume, the calculation gives 12.49 Å³ per atom. The space group is P-31c, No. 163. The value obtained for the density of states at the Fermi level is 13.401 states/eV/cell. The formation energy without anion corrections is -1.67 eV/atom. As for the total energy: -124.35 eV per cell.

Unit cell a=5.367 b=5.367 c=9.016 alpha=90.00 beta=90.00 gamma=120.00
Fractional positions:
Ho (0.333, 0.667, 0.250)
Ho (0.667, 0.333, 0.750)
Sn (0.000, 0.000, 0.000)
Sn (0.000, 0.000, 0.500)
Ir (0.333, 0.667, 0.750)
Ir (0.667, 0.333, 0.250)
O (0.033, 0.353, 0.624)
O (0.033, 0.680, 0.876)
O (0.320, 0.353, 0.876)
O (0.320, 0.967, 0.624)
O (0.353, 0.033, 0.124)
O (0.353, 0.320, 0.376)
O (0.647, 0.680, 0.624)
O (0.647, 0.967, 0.876)
O (0.680, 0.033, 0.376)
O (0.680, 0.647, 0.124)
O (0.967, 0.320, 0.124)
O (0.967, 0.647, 0.376)

---

## MgCd2GeO5 (GGA-PBE)

Data for MgCd2GeO5 after structural relaxation.

Calculated values
For the volume, the calculation gives 12.23 Å³ per atom. The space group is Cmc2_1, No. 36. The formation energy without anion corrections is -1.56 eV/atom. As for the total energy: -93.70 eV per cell.

Unit cell a=6.424 b=6.424 c=11.048 alpha=90.00 beta=90.00 gamma=151.13
Fractional positions:
Mg (0.218, 0.782, 0.500)
Mg (0.782, 0.218, 0.000)
Cd (0.092, 0.908, 0.139)
Cd (0.172, 0.828, 0.773)
Cd (0.828, 0.172, 0.273)
Cd (0.908, 0.092, 0.639)
Ge (0.474, 0.526, 0.906)
Ge (0.526, 0.474, 0.406)
O (0.043, 0.957, 0.496)
O (0.266, 0.734, 0.133)
O (0.325, 0.675, 0.888)
O (0.377, 0.623, 0.439)
O (0.496, 0.504, 0.244)
O (0.504, 0.496, 0.744)
O (0.623, 0.377, 0.939)
O (0.675, 0.325, 0.388)
O (0.734, 0.266, 0.633)
O (0.957, 0.043, 0.996)

---

## ZnTeIN2 (GGA-PBE)

Data for ZnTeIN2 after structural relaxation.

Calculated values
For the volume, the calculation gives 26.12 Å³ per atom. The space group is P4/mmm, No. 123. The value obtained for the density of states at the Fermi level is 2.737 states/eV/cell. The formation energy without anion corrections is 1.26 eV/atom. The relative energy among the computed polymorphs comes out at 0.000 eV per atom. As for the total energy: -16.31 eV per cell.

Unit cell a=4.048 b=4.048 c=7.969 alpha=90.00 beta=90.00 gamma=90.00
Fractional positions:
Zn (0.000, 0.000, 0.000)
Te (0.500, 0.500, 0.500)
I (0.500, 0.500, 0.000)
N (0.000, 0.500, 0.500)
N (0.500, 0.000, 0.500)

---

## MnGa2Cu (GGA-PBE)

Data for MnGa2Cu after structural relaxation.

Calculated values
For the volume, the calculation gives 14.05 Å³ per atom. The space group is R-3m, No. 166. The energy of formation comes out at 0.001 eV per atom. The value obtained for the density of states at the Fermi level is 2.164 states/eV/cell. As for the total energy: -19.32 eV per cell.

Unit cell a=8.468 b=8.468 c=8.468 alpha=19.00 beta=19.00 gamma=19.00
Fractional positions:
Mn (0.000, 0.000, 0.000)
Ga (0.251, 0.251, 0.251)
Ga (0.749, 0.749, 0.749)
Cu (0.500, 0.500, 0.500)

---

## Zn5Ir2Rh (GGA-PBE)

Data for Zn5Ir2Rh after structural relaxation.

Calculated values
For the volume, the calculation gives 13.99 Å³ per atom. The space group is I4mm, No. 107. The energy of formation comes out at -0.255 eV per atom. The value obtained for the density of states at the Fermi level is 2.654 states/eV/cell. As for the total energy: -33.49 eV per cell.

Unit cell a=5.258 b=5.258 c=5.258 alpha=109.49 beta=109.49 gamma=109.44
Fractional positions:
Zn (0.000, 0.000, 0.000)
Zn (0.500, 0.500, 0.500)
Zn (0.500, 0.999, 0.000)
Zn (0.999, 0.500, 0.000)
Zn (0.999, 0.999, 0.500)
Ir (0.499, 0.999, 0.500)
Ir (0.999, 0.499, 0.500)
Rh (0.499, 0.499, 0.000)

---

## Dy2BiAs (GGA-PBE)

Data for Dy2BiAs after structural relaxation.

Calculated values
For the volume, the calculation gives 28.39 Å³ per atom. The space group is R3m, No. 160. The energy of formation comes out at -1.083 eV per atom. The value obtained for the density of states at the Fermi level is 1.384 states/eV/cell. As for the total energy: -22.06 eV per cell.

Unit cell a=7.742 b=7.742 c=7.742 alpha=31.66 beta=31.66 gamma=31.66
Fractional positions:
Dy (0.000, 0.000, 0.000)
Dy (0.186, 0.186, 0.186)
Bi (0.426, 0.426, 0.426)
As (0.595, 0.595, 0.595)

---

## BaBeBr4 (GGA-PBE)

Data for BaBeBr4 after structural relaxation.

Calculated values
For the volume, the calculation gives 35.28 Å³ per atom. The space group is I4_1/amd, No. 141. The value obtained for the density of states at the Fermi level is 0.000 states/eV/cell. The formation energy without anion corrections is -1.59 eV/atom. The relative energy among the computed polymorphs comes out at 0.000 eV per atom. As for the total energy: -43.75 eV per cell.

Unit cell a=8.268 b=8.268 c=8.268 alpha=104.38 beta=104.38 gamma=120.22
Fractional positions:
Ba (0.375, 0.625, 0.750)
Ba (0.625, 0.375, 0.250)
Be (0.125, 0.875, 0.250)
Be (0.875, 0.125, 0.750)
Br (0.138, 0.714, 0.424)
Br (0.210, 0.286, 0.924)
Br (0.286, 0.210, 0.424)
Br (0.286, 0.862, 0.076)
Br (0.714, 0.138, 0.924)
Br (0.714, 0.790, 0.576)
Br (0.790, 0.714, 0.076)
Br (0.862, 0.286, 0.576)